Record 1
The following is a DFT calculation (PBE) of a relaxed MoAsH crystal.

Results
final energy = -6.228 eV per atom
magnetic moment = 0.0 μB per cell
SG = No. 8
distance to the lowest polymorph of the same formula = 0.150 eV per atom

Cell lengths 6.7930, 7.1428, 3.3759 Å; angles 90.00, 119.78, 90.00 degrees
Positions (direct):
Mo 0.0000 0.0000 0.0000
Mo 0.0017 0.5000 0.0866
Mo 0.5000 0.5000 0.0000
Mo 0.5017 0.0000 0.0866
As 0.3325 0.2495 0.3748
As 0.3325 0.7505 0.3748
As 0.8325 0.2505 0.3748
As 0.8325 0.7495 0.3748
H 0.1636 0.0000 0.6810
H 0.1641 0.5000 0.7302
H 0.6641 0.0000 0.7302
H 0.6636 0.5000 0.6810

=====

Record 2
The following is a DFT calculation (PBE) of a relaxed Tl2PtPbI crystal.

Results
final energy = -3.438 eV per atom
magnetic moment = 0.0 μB per cell
energy relative to the elements, uncorrected = -22.4 kJ/mol of atoms
SG = No. 123

Cell lengths 5.4761, 5.4761, 5.4715 Å; angles 90.00, 90.00, 90.00 degrees
Positions (direct):
Tl 0.0000 0.5000 0.0000
Tl 0.5000 0.0000 0.0000
Pt 0.0000 0.0000 0.0000
Pb 0.0000 0.0000 0.5000
I 0.5000 0.5000 0.5000

=====

Record 3
The following is a DFT calculation (PBE) of a relaxed CrCuTeSe crystal.

Results
final energy = -5.199 eV per atom
magnetic moment = 3.2 μB per cell
energy relative to the elements, uncorrected = -10.8 kJ/mol of atoms
SG = No. 156

Cell lengths 4.2049, 4.2049, 6.4083 Å; angles 90.00, 90.00, 120.00 degrees
Positions (direct):
Cr 0.0000 0.0000 0.0000
Cu 0.3333 0.6667 0.5501
Te 0.0000 0.0000 0.4129
Se 0.3333 0.6667 0.9279

=====

Record 4
The following is a DFT calculation (PBE) of a relaxed Ca2InGaH crystal.

Results
final energy = -2.930 eV per atom
magnetic moment = 0.0 μB per cell
SG = No. 123
distance to the lowest polymorph of the same formula = 0.026 eV per atom

Cell lengths 4.7638, 4.7638, 4.6728 Å; angles 90.00, 90.00, 90.00 degrees
Positions (direct):
Ca 0.0000 0.5000 0.0000
Ca 0.5000 0.0000 0.0000
In 0.0000 0.0000 0.5000
Ga 0.5000 0.5000 0.5000
H 0.0000 0.0000 0.0000

=====

Record 5
The following is a DFT calculation (PBE) of a relaxed CoNiP2 crystal.

Results
final energy = -5.963 eV per atom
magnetic moment = 0.0 μB per cell
SG = No. 65
calculated formation energy = -0.04 eV/atom
distance to the lowest polymorph of the same formula = 0.308 eV per atom

Cell lengths 5.7504, 5.8408, 2.7312 Å; angles 90.00, 90.00, 90.00 degrees
Positions (direct):
Co 0.0000 0.0000 0.0000
Co 0.5000 0.5000 0.0000
Ni 0.0000 0.5000 0.0000
Ni 0.5000 0.0000 0.0000
P 0.2500 0.2500 0.5000
P 0.2500 0.7500 0.5000
P 0.7500 0.2500 0.5000
P 0.7500 0.7500 0.5000

=====

Record 6
The following is a DFT calculation (PBE) of a relaxed KLi2SnBi crystal.

Results
final energy = -1.968 eV per atom
magnetic moment = 0.0 μB per cell
SG = No. 123
calculated formation energy = 0.59 eV/atom

Cell lengths 5.1636, 5.1636, 6.0261 Å; angles 90.00, 90.00, 90.00 degrees
Positions (direct):
K 0.0000 0.0000 0.0000
Li 0.0000 0.5000 0.0000
Li 0.5000 0.0000 0.0000
Sn 0.0000 0.0000 0.5000
Bi 0.5000 0.5000 0.5000

=====

Record 7
The following is a DFT calculation (PBE) of a relaxed LiBe17Nb crystal.

Results
final energy = -4.063 eV per atom
magnetic moment = 0.0 μB per cell
SG = No. 160
calculated formation energy = -0.10 eV/atom

Cell lengths 5.5787, 5.5787, 5.5787 Å; angles 82.68, 82.68, 82.68 degrees
Positions (direct):
Li 0.0000 0.0000 0.0000
Be 0.1580 0.6437 0.6437
Be 0.3091 0.3091 0.8157
Be 0.3091 0.8157 0.3091
Be 0.3580 0.6563 0.9478
Be 0.3580 0.9478 0.6563
Be 0.4984 0.9995 0.9995
Be 0.5547 0.5547 0.5547
Be 0.6437 0.1580 0.6437
Be 0.6437 0.6437 0.1580
Be 0.6563 0.3580 0.9478
Be 0.6563 0.9478 0.3580
Be 0.7522 0.7522 0.7522
Be 0.8157 0.3091 0.3091
Be 0.9478 0.3580 0.6563
Be 0.9478 0.6563 0.3580
Be 0.9995 0.4984 0.9995
Be 0.9995 0.9995 0.4984
Nb 0.3180 0.3180 0.3180

=====

Record 8
The following is a DFT calculation (PBE) of a relaxed Tb2AlGa3Pt4 crystal.

Results
final energy = -5.633 eV per atom
magnetic moment = 0.0 μB per cell
SG = No. 115
calculated formation energy = -1.01 eV/atom

Cell lengths 4.1149, 4.1149, 11.0173 Å; angles 90.00, 90.00, 90.00 degrees
Positions (direct):
Tb 0.0000 0.5000 0.2490
Tb 0.5000 0.0000 0.7510
Al 0.0000 0.0000 0.5000
Ga 0.0000 0.5000 0.8645
Ga 0.5000 0.0000 0.1355
Ga 0.5000 0.5000 0.5000
Pt 0.0000 0.0000 0.0000
Pt 0.0000 0.5000 0.6383
Pt 0.5000 0.0000 0.3617
Pt 0.5000 0.5000 0.0000

=====

Record 9
The following is a DFT calculation (PBE) of a relaxed Ta2HgSe crystal.

Results
final energy = -6.330 eV per atom
magnetic moment = 0.0 μB per cell
energy relative to the elements, uncorrected = 52.4 kJ/mol of atoms
SG = No. 119
distance to the lowest polymorph of the same formula = 0.570 eV per atom

Cell lengths 4.0599, 4.0599, 9.1940 Å; angles 90.00, 90.00, 90.00 degrees
Positions (direct):
Ta 0.0000 0.0000 0.0000
Ta 0.0000 0.5000 0.2500
Ta 0.5000 0.0000 0.7500
Ta 0.5000 0.5000 0.5000
Hg 0.0000 0.5000 0.7500
Hg 0.5000 0.0000 0.2500
Se 0.0000 0.0000 0.5000
Se 0.5000 0.5000 0.0000

=====

Record 10
The following is a DFT calculation (PBE) of a relaxed RbZn2Pt2 crystal.

Results
final energy = -3.344 eV per atom
magnetic moment = 0.0 μB per cell
SG = No. 127
calculated formation energy = -0.22 eV/atom
distance to the lowest polymorph of the same formula = 0.006 eV per atom

Cell lengths 8.0721, 8.0721, 2.8590 Å; angles 90.00, 90.00, 90.00 degrees
Positions (direct):
Rb 0.0000 0.0000 0.0000
Rb 0.5000 0.5000 0.0000
Zn 0.1285 0.3715 0.0000
Zn 0.3715 0.8715 0.0000
Zn 0.6285 0.1285 0.0000
Zn 0.8715 0.6285 0.0000
Pt 0.1597 0.6597 0.5000
Pt 0.3403 0.1597 0.5000
Pt 0.6597 0.8403 0.5000
Pt 0.8403 0.3403 0.5000

=====

Record 11
The following is a DFT calculation (PBE) of a relaxed CuMo4Au crystal.

Results
final energy = -7.926 eV per atom
magnetic moment = 0.0 μB per cell
SG = No. 216
calculated formation energy = 0.52 eV/atom

Cell lengths 5.2091, 5.2091, 5.2091 Å; angles 60.00, 60.00, 60.00 degrees
Positions (direct):
Cu 0.0000 0.0000 0.0000
Mo 0.1223 0.6259 0.6259
Mo 0.6259 0.1223 0.6259
Mo 0.6259 0.6259 0.1223
Mo 0.6259 0.6259 0.6259
Au 0.2500 0.2500 0.2500

=====

Record 12
The following is a DFT calculation (PBE) of a relaxed SrMnTc2 crystal.

Results
final energy = -7.055 eV per atom
magnetic moment = 6.1 μB per cell
SG = No. 166
calculated formation energy = 0.84 eV/atom
distance to the lowest polymorph of the same formula = 0.416 eV per atom

Cell lengths 2.9294, 2.9294, 28.1222 Å; angles 90.00, 90.00, 120.00 degrees
Positions (direct):
Sr 0.0000 0.0000 0.0000
Sr 0.3333 0.6667 0.6667
Sr 0.6667 0.3333 0.3333
Mn 0.0000 0.0000 0.5000
Mn 0.3333 0.6667 0.1667
Mn 0.6667 0.3333 0.8333
Tc 0.0000 0.0000 0.2349
Tc 0.0000 0.0000 0.7651
Tc 0.3333 0.6667 0.4317
Tc 0.3333 0.6667 0.9016
Tc 0.6667 0.3333 0.0984
Tc 0.6667 0.3333 0.5683

=====

Record 13
The following is a DFT calculation (PBE) of a relaxed MnRe2Ni crystal.

Results
final energy = -9.886 eV per atom
magnetic moment = 1.9 μB per cell
SG = No. 25
calculated formation energy = 0.08 eV/atom
distance to the lowest polymorph of the same formula = 0.058 eV per atom

Cell lengths 2.6718, 3.7811, 5.2807 Å; angles 90.00, 90.00, 90.00 degrees
Positions (direct):
Mn 0.0000 0.0000 0.0000
Re 0.0000 0.0000 0.4755
Re 0.5000 0.5000 0.7444
Ni 0.5000 0.5000 0.2317

=====

Record 14
The following is a DFT calculation (PBE) of a relaxed CaSn4O8 crystal.

Results
final energy = -6.077 eV per atom
magnetic moment = 0.0 μB per cell
energy relative to the elements, uncorrected = -158.2 kJ/mol of atoms
SG = No. 166
distance to the lowest polymorph of the same formula = 0.036 eV per atom

Cell lengths 6.9247, 6.9247, 6.9247 Å; angles 57.18, 57.18, 57.18 degrees
Positions (direct):
Ca 0.0000 0.0000 0.0000
Sn 0.0000 0.0000 0.5000
Sn 0.0000 0.5000 0.0000
Sn 0.5000 0.0000 0.0000
Sn 0.5000 0.5000 0.5000
O 0.1921 0.7515 0.7515
O 0.2279 0.2279 0.2279
O 0.2485 0.2485 0.8079
O 0.2485 0.8079 0.2485
O 0.7515 0.1921 0.7515
O 0.7515 0.7515 0.1921
O 0.7721 0.7721 0.7721
O 0.8079 0.2485 0.2485

=====

Record 15
The following is a DFT calculation (PBE) of a relaxed RbBSN2 crystal.

Results
final energy = -2.565 eV per atom
magnetic moment = 6.0 μB per cell
energy relative to the elements, uncorrected = 301.0 kJ/mol of atoms
SG = No. 123
distance to the lowest polymorph of the same formula = 1.487 eV per atom

Cell lengths 5.3260, 5.3260, 6.2976 Å; angles 90.00, 90.00, 90.00 degrees
Positions (direct):
Rb 0.0000 0.0000 0.0000
B 0.5000 0.5000 0.5000
S 0.0000 0.0000 0.5000
N 0.0000 0.5000 0.0000
N 0.5000 0.0000 0.0000

=====

Record 16
The following is a DFT calculation (PBE) of a relaxed Ac3Pd5Au crystal.

Results
final energy = -5.147 eV per atom
magnetic moment = 0.0 μB per cell
SG = No. 140
calculated formation energy = -0.53 eV/atom

Cell lengths 8.5445, 8.5445, 8.5445 Å; angles 117.22, 117.22, 94.89 degrees
Positions (direct):
Ac 0.1376 0.6377 0.7753
Ac 0.2500 0.2500 0.0000
Ac 0.3624 0.1376 0.5000
Ac 0.6377 0.8624 0.5000
Ac 0.7500 0.7500 0.0000
Ac 0.8624 0.3624 0.2247
Pd 0.0000 0.0000 0.0000
Pd 0.0430 0.1619 0.5000
Pd 0.1619 0.6619 0.1189
Pd 0.3381 0.4570 0.5000
Pd 0.4570 0.9570 0.1189
Pd 0.5000 0.5000 0.0000
Pd 0.5430 0.0430 0.8811
Pd 0.6619 0.5430 0.5000
Pd 0.8381 0.3381 0.8811
Pd 0.9570 0.8381 0.5000
Au 0.2500 0.7500 0.5000
Au 0.7500 0.2500 0.5000

=====

Record 17
The following is a DFT calculation (PBE) of a relaxed Sm2Er4TmMg crystal.

Results
final energy = -4.189 eV per atom
magnetic moment = 0.0 μB per cell
SG = No. 10
calculated formation energy = 0.03 eV/atom

Cell lengths 4.9449, 4.9319, 10.0052 Å; angles 90.00, 90.05, 90.00 degrees
Positions (direct):
Sm 0.0000 0.0000 0.0000
Sm 0.5000 0.5000 0.5000
Er 0.9998 0.5000 0.2499
Er 0.0002 0.5000 0.7501
Er 0.4995 0.0000 0.2496
Er 0.5005 0.0000 0.7504
Tm 0.5000 0.5000 0.0000
Mg 0.0000 0.0000 0.5000

=====

Record 18
The following is a DFT calculation (PBE) of a relaxed Hf2HgGeH crystal.

Results
final energy = -5.311 eV per atom
magnetic moment = 0.0 μB per cell
SG = No. 123

Cell lengths 5.2919, 5.2919, 3.3778 Å; angles 90.00, 90.00, 90.00 degrees
Positions (direct):
Hf 0.0000 0.5000 0.0000
Hf 0.5000 0.0000 0.0000
Hg 0.0000 0.0000 0.5000
Ge 0.5000 0.5000 0.0000
H 0.5000 0.5000 0.5000

=====

Record 19
The following is a DFT calculation (PBE) of a relaxed Tb3Al2Tl crystal.

Results
final energy = -4.337 eV per atom
magnetic moment = 0.0 μB per cell
SG = No. 123
calculated formation energy = -0.38 eV/atom

Cell lengths 3.6473, 3.6473, 11.3073 Å; angles 90.00, 90.00, 90.00 degrees
Positions (direct):
Tb 0.0000 0.0000 0.0000
Tb 0.0000 0.0000 0.3182
Tb 0.0000 0.0000 0.6818
Al 0.5000 0.5000 0.1591
Al 0.5000 0.5000 0.8409
Tl 0.5000 0.5000 0.5000

=====

Record 20
The following is a DFT calculation (PBE) of a relaxed YMoAuSe2 crystal.

Results
final energy = -5.514 eV per atom
magnetic moment = 0.0 μB per cell
energy relative to the elements, uncorrected = -0.5 kJ/mol of atoms
SG = No. 123

Cell lengths 4.7851, 4.7851, 5.7736 Å; angles 90.00, 90.00, 90.00 degrees
Positions (direct):
Y 0.0000 0.0000 0.0000
Mo 0.0000 0.0000 0.5000
Au 0.5000 0.5000 0.0000
Se 0.0000 0.5000 0.5000
Se 0.5000 0.0000 0.5000

=====

Record 21
The following is a DFT calculation (PBE) of a relaxed LiHo4Ir2 crystal.

Results
final energy = -6.075 eV per atom
magnetic moment = 0.0 μB per cell
SG = No. 166
calculated formation energy = -0.65 eV/atom
distance to the lowest polymorph of the same formula = 0.000 eV per atom

Cell lengths 8.3822, 8.3822, 8.3822 Å; angles 33.55, 33.55, 33.55 degrees
Positions (direct):
Li 0.0000 0.0000 0.0000
Ho 0.1278 0.1278 0.1278
Ho 0.3788 0.3788 0.3788
Ho 0.6212 0.6212 0.6212
Ho 0.8722 0.8722 0.8722
Ir 0.2522 0.2522 0.2522
Ir 0.7478 0.7478 0.7478

=====

Record 22
The following is a DFT calculation (PBE) of a relaxed ZnMo2Os crystal.

Results
final energy = -8.381 eV per atom
magnetic moment = 0.0 μB per cell
SG = No. 65
calculated formation energy = 0.16 eV/atom

Cell lengths 5.3641, 8.0959, 2.7616 Å; angles 90.00, 90.00, 90.00 degrees
Positions (direct):
Zn 0.0000 0.0000 0.0000
Zn 0.5000 0.5000 0.0000
Mo 0.2500 0.2500 0.5000
Mo 0.2500 0.7500 0.5000
Mo 0.7500 0.2500 0.5000
Mo 0.7500 0.7500 0.5000
Os 0.0000 0.5000 0.0000
Os 0.5000 0.0000 0.0000

=====

Record 23
The following is a DFT calculation (PBE) of a relaxed DyBi2Pb crystal.

Results
final energy = -4.297 eV per atom
magnetic moment = 0.0 μB per cell
SG = No. 166
calculated formation energy = -0.28 eV/atom
distance to the lowest polymorph of the same formula = 0.072 eV per atom

Cell lengths 4.4600, 4.4600, 23.7018 Å; angles 90.00, 90.00, 120.00 degrees
Positions (direct):
Dy 0.0000 0.0000 0.0000
Dy 0.3333 0.6667 0.6667
Dy 0.6667 0.3333 0.3333
Bi 0.0000 0.0000 0.2551
Bi 0.0000 0.0000 0.7449
Bi 0.3333 0.6667 0.4116
Bi 0.3333 0.6667 0.9218
Bi 0.6667 0.3333 0.0782
Bi 0.6667 0.3333 0.5884
Pb 0.0000 0.0000 0.5000
Pb 0.3333 0.6667 0.1667
Pb 0.6667 0.3333 0.8333

=====

Record 24
The following is a DFT calculation (PBE) of a relaxed Cs5GaAs2 crystal.

Results
final energy = -2.376 eV per atom
magnetic moment = 0.0 μB per cell
SG = No. 166
calculated formation energy = -0.30 eV/atom

Cell lengths 16.0947, 16.0947, 16.0947 Å; angles 22.51, 22.51, 22.51 degrees
Positions (direct):
Cs 0.0000 0.0000 0.0000
Cs 0.1371 0.1371 0.1371
Cs 0.2516 0.2516 0.2516
Cs 0.7484 0.7484 0.7484
Cs 0.8629 0.8629 0.8629
Ga 0.5000 0.5000 0.5000
As 0.4511 0.4511 0.4511
As 0.5489 0.5489 0.5489

=====

Record 25
The following is a DFT calculation (PBE) of a relaxed Cs2TeI crystal.

Results
final energy = -2.760 eV per atom
magnetic moment = 0.0 μB per cell
energy relative to the elements, uncorrected = -112.0 kJ/mol of atoms
SG = No. 14
distance to the lowest polymorph of the same formula = 0.010 eV per atom

Cell lengths 10.2748, 10.4210, 11.8696 Å; angles 90.00, 121.35, 90.00 degrees
Positions (direct):
Cs 0.0945 0.1974 0.1645
Cs 0.0945 0.3026 0.6645
Cs 0.3292 0.6532 0.2749
Cs 0.3292 0.8468 0.7749
Cs 0.6708 0.1532 0.2251
Cs 0.6708 0.3468 0.7251
Cs 0.9055 0.6974 0.3355
Cs 0.9055 0.8026 0.8355
Te 0.0956 0.0278 0.4518
Te 0.0956 0.4722 0.9518
Te 0.9044 0.5278 0.0482
Te 0.9044 0.9722 0.5482
I 0.3051 0.5478 0.5764
I 0.3051 0.9522 0.0764
I 0.6949 0.0478 0.9236
I 0.6949 0.4522 0.4236